[1]
VASP calculation (PBE) on an optimized crystal structure of SrAsAuS2.

POSCAR file:
```
SrAsAuS2
1.0
4.8114 0.0000 0.0000
0.0000 5.9171 0.0000
0.0000 0.0000 4.8114
Sr As Au S
1 1 1 2
Direct
0.0000 0.5000 0.0000 Sr
0.5000 0.5000 0.5000 As
0.0000 0.0000 0.0000 Au
0.0000 0.0000 0.5000 S
0.5000 0.0000 0.0000 S
```

Properties
As for the uncorrected formation energy: 3.69 kcal/mol of atoms. As for the space group: P4/mmm.

---

[2]
VASP calculation (PBE) on an optimized crystal structure of LaAlHg.

POSCAR file:
```
LaAlHg
1.0
3.7963 -0.0004 0.0000
0.0026 8.3694 0.0000
0.0000 0.0000 4.8501
La Hg Al
2 2 2
Direct
0.6465 0.1591 0.3666 La
0.6462 0.6421 0.8666 La
0.1460 0.8057 0.3666 Hg
0.1468 0.9955 0.8666 Hg
0.1464 0.3249 0.8666 Al
0.1463 0.4763 0.3666 Al
```

Properties
The calculation puts the calculated formation energy at -0.4655 eV/atom. As for the space group: Pmma.